DFT (PBE-GGA) results for a relaxed PPd2Pb crystal.

Structure (POSCAR):
```
PPd2Pb
1.0
-2.359 -1.344 3.021
1.591 -2.290 2.954
0.899 3.403 4.947
P Pd Pb
1 2 1
direct
0.676 0.676 0.972 P
0.043 0.043 0.870 Pd
0.287 0.287 0.140 Pd
0.494 0.494 0.518 Pb
```

Output
**Crystal system**: trigonal
**Calculated formation energy**: -231.3 meV/atom
**Electronic total energy**: -20.4 eV per cell
**Spin magnetization**: 0.00 μB per atom
**DOS(E_F)**: 1.3 states/eV per cell